Record 1
A relaxed structure of BeRhBrN2. Source: Alexandria via LeMat-Bulk, functional PBE.

a b c (Å): 3.9938 3.9938 4.0649
angles (deg): 90.00 90.00 90.00
Last column: nearest neighbours and their distance in Å.
Space group P4/mmm (No. 123)
Inequivalent atoms, fractional coordinates:
Be  0.0000  0.0000  0.0000 [1 per cell]  2 Br 2.03
Rh  0.5000  0.5000  0.0000 [1 per cell]  4 Be 2.82, 8 N 2.85
Br  0.0000  0.0000  0.5000 [1 per cell]  4 N 2.00, 2 Be 2.03
N  0.0000  0.5000  0.5000 [2 per cell]  2 Br 2.00

## Properties
Theoretical density: 5.63 g/cm3
Volume: 64.84 Å³ per cell
Raw formation energy: 2.348 eV per atom
DFT total energy: -17.66 eV for the cell shown
Total magnetization: 0.00 μB per formula unit
N(E_F): 3.83 states/eV per cell

Record 2
A relaxed structure of BeS2BrN. Source: Alexandria via LeMat-Bulk, functional PBE.

a b c (Å): 4.8874 4.8874 3.1683
angles (deg): 90.00 90.00 90.00
Last column: nearest neighbours and their distance in Å.
Space group P4/mmm (No. 123)
Inequivalent atoms, fractional coordinates:
Be  0.0000  0.0000  0.0000 [1 per cell]  2 N 1.58
S  0.0000  0.5000  0.0000 [2 per cell]  2 Be 2.44
Br  0.5000  0.5000  0.5000 [1 per cell]  8 S 2.91, 2 Br 3.17
N  0.0000  0.0000  0.5000 [1 per cell]  2 Be 1.58

## Properties
Theoretical density: 3.67 g/cm3
Volume: 75.68 Å³ per cell
Energy relative to the lowest polymorph listed for this composition: 0.000 eV/atom
Raw formation energy: 0.908 eV per atom
DFT total energy: -17.44 eV for the cell shown
Total magnetization: 0.00 μB per formula unit
N(E_F): 3.34 states/eV per cell

Record 3
A relaxed structure of BeS2BrN. Source: Alexandria via LeMat-Bulk, functional PBE.

a b c (Å): 4.9626 4.9626 3.6460
angles (deg): 90.00 90.00 90.00
Last column: nearest neighbours and their distance in Å.
Space group P4/mmm (No. 123)
Inequivalent atoms, fractional coordinates:
Be  0.0000  0.0000  0.0000 [1 per cell]  8 S 3.08
S  0.0000  0.5000  0.5000 [2 per cell]  2 Br 2.48
Br  0.5000  0.5000  0.5000 [1 per cell]  2 N 1.82
N  0.5000  0.5000  0.0000 [1 per cell]  2 Br 1.82

## Properties
Theoretical density: 3.09 g/cm3
Volume: 89.79 Å³ per cell
Energy relative to the lowest polymorph listed for this composition: 0.947 eV/atom
Raw formation energy: 1.855 eV per atom
DFT total energy: -12.70 eV for the cell shown
Total magnetization: 0.02 μB per formula unit
N(E_F): 3.18 states/eV per cell

Record 4
A relaxed structure of BeSBrN2. Source: Alexandria via LeMat-Bulk, functional PBE.

a b c (Å): 3.4734 3.4734 7.4129
angles (deg): 90.00 90.00 90.00
Last column: nearest neighbours and their distance in Å.
Space group P4/mmm (No. 123)
Inequivalent atoms, fractional coordinates:
Be  0.0000  0.0000  0.0000 [1 per cell]  4 N 1.74
S  0.0000  0.0000  0.5000 [1 per cell]  4 Br 2.46
Br  0.5000  0.5000  0.5000 [1 per cell]  4 S 2.46
N  0.0000  0.5000  0.0000 [2 per cell]  2 Be 1.74

## Properties
Theoretical density: 2.77 g/cm3
Volume: 89.43 Å³ per cell
Energy relative to the lowest polymorph listed for this composition: 0.000 eV/atom
Raw formation energy: 1.347 eV per atom
DFT total energy: -19.44 eV for the cell shown
Total magnetization: 1.54 μB per formula unit
N(E_F): 3.68 states/eV per cell